--- 1 ---
Density functional theory data (PBE) for crystalline PtAuSCl2 at its relaxed geometry.

```
5
Lattice="-1.435 4.589 -1.131 -4.707 -1.496 -0.099 -0.406 0.978 4.484" Properties=species:S:1:pos:R:3 pbc="T T T"
S -0.203 0.489 2.242
Cl -0.718 2.295 -0.565
Cl -2.353 -0.748 -0.050
Au -3.274 2.036 1.627
Pt 0.000 0.000 0.000
```

--- 2 ---
Density functional theory data (PBE) for crystalline PtAuSCl2 at its relaxed geometry.

```
5
Lattice="4.653 0.000 0.000 0.000 5.514 0.000 0.000 0.000 4.653" Properties=species:S:1:pos:R:3 pbc="T T T"
Au 0.000 2.757 0.000
S 2.326 2.757 2.326
Cl 0.000 0.000 2.326
Cl 2.326 0.000 0.000
Pt 0.000 0.000 0.000
```

Stability verdict: 1, ahead by 19.2 kJ/mol of atoms

--- 1 ---
Density functional theory data (PBE) for crystalline RbAu3Cl at its relaxed geometry.

```
5
Lattice="5.296 0.000 0.000 0.000 5.296 0.000 0.000 0.000 5.296" Properties=species:S:1:pos:R:3 pbc="T T T"
Cl 0.000 0.000 0.000
Au 2.648 0.000 0.000
Au 0.000 2.648 0.000
Au 0.000 0.000 2.648
Rb 2.648 2.648 2.648
```

--- 2 ---
Density functional theory data (PBE) for crystalline RbAu3Cl at its relaxed geometry.

```
5
Lattice="6.031 0.000 0.000 0.000 6.031 0.000 0.000 0.000 6.031" Properties=species:S:1:pos:R:3 pbc="T T T"
Cl 3.015 3.015 3.015
Au 0.000 3.015 0.000
Au 3.015 0.000 0.000
Au 0.000 0.000 3.015
Rb 0.000 0.000 0.000
```

Stability verdict: 1, ahead by 78.0 kJ/mol of atoms

--- 1 ---
Density functional theory data (PBE) for crystalline Rb3AuCl at its relaxed geometry.

```
10
Lattice="4.738 -0.003 -0.001 2.362 8.014 2.058 -0.004 -0.238 12.355" Properties=species:S:1:pos:R:3 pbc="T T T"
Rb 1.344 0.883 11.955
Rb 6.080 4.835 6.536
Rb 3.710 1.003 8.113
Rb 3.708 4.959 2.696
Rb 1.345 0.863 3.905
Rb 3.708 4.978 10.746
Au 6.078 7.336 3.648
Au 6.073 6.516 13.060
Cl 1.342 2.978 9.341
Cl 3.710 2.864 5.309
```

--- 2 ---
Density functional theory data (PBE) for crystalline Rb3AuCl at its relaxed geometry.

```
5
Lattice="-5.932 0.508 -2.002 -0.122 -6.164 -1.203 -2.061 -1.097 5.831" Properties=species:S:1:pos:R:3 pbc="T T T"
Rb -1.031 -0.549 2.916
Rb -0.061 -3.082 -0.602
Rb -2.966 0.254 -1.001
Au -4.058 -3.376 1.313
Cl 0.000 0.000 0.000
```

Stability verdict: 1, ahead by 12.7 kJ/mol of atoms

--- 1 ---
Density functional theory data (PBE) for crystalline RbAu2Cl at its relaxed geometry.

```
8
Lattice="-1.724 1.021 -4.836 2.520 -4.225 -1.790 -8.115 -7.442 -1.511" Properties=species:S:1:pos:R:3 pbc="T T T"
Cl 0.398 -1.602 -3.313
Cl -2.599 -6.635 -3.307
Au -2.360 -2.006 -2.415
Au -5.158 -7.840 -4.065
Au -1.101 -4.118 -3.310
Au -6.020 -7.329 -6.483
Rb 0.000 0.000 0.000
Rb -4.721 -4.012 -4.830
```

--- 2 ---
Density functional theory data (PBE) for crystalline RbAu2Cl at its relaxed geometry.

```
4
Lattice="-2.683 -2.925 3.647 -5.089 1.261 1.251 -4.035 -3.214 -1.562" Properties=species:S:1:pos:R:3 pbc="T T T"
Rb -5.904 -2.439 1.668
Au -8.855 -3.658 2.502
Au -2.952 -1.219 0.834
Cl 0.000 0.000 0.000
```

Stability verdict: 1, ahead by 51.6 kJ/mol of atoms